This record from Alexandria via LeMat-Bulk describes a relaxed YBeIn2 crystal. The functional is GGA-PBE.

Values from the calculation:
final energy: -3.86 eV/atom
formation energy from the elements: 60 meV per atom

Lattice parameters (Å, degrees): 3.467 3.467 7.408 90.00 90.00 90.00
Atoms (fractional coordinates):
Y 0.000 0.000 0.000
Be 0.500 0.500 0.253
In 0.000 0.000 0.426
In 0.500 0.500 0.697